Density functional theory data (SCAN) for a crystal of TaTl2Cr relaxed with PBEsol.

abc: 3.085 4.800 5.966
angles: 113.72 104.98 90.00
Last column: magnetic moment on the atom in μB.
Element x y z (fractional)
Tl  0.778  0.278  0.555  0.00
Tl  0.995  0.995  0.989  -0.04
Ta  0.205  0.705  0.410  -0.47
Cr  0.523  0.523  0.045  2.09

Crystal system ... orthorhombic
Fermi-level density of states ... 2.07 states/eV per cell
Space-group type ... No. 44
Excess energy over the best structure of this formula in the dataset ... 77.9 meV/atom
Raw total energy ... -56.835 eV per atom


Density functional theory data (SCAN) for a crystal of MgCdO2 relaxed with PBEsol.

abc: 4.856 4.856 5.834
angles: 114.59 114.60 90.00
Element x y z (fractional)
Mg  0.750  0.250  0.500
Mg  0.500  0.500  0.000
Cd  0.000  0.000  0.000
Cd  0.250  0.750  0.500
O  0.835  0.375  0.250
O  0.125  0.165  0.750
O  0.625  0.585  0.750
O  0.415  0.875  0.250

Crystal system ... tetragonal
Fermi-level density of states ... 0.00 states/eV per cell
Formation energy (no corrections) ... -2.0121 eV/atom
Space-group type ... No. 122
Raw total energy ... -13.975 eV per atom


Density functional theory data (SCAN) for a crystal of TlCdIn relaxed with PBEsol.

abc: 3.331 5.156 5.156
angles: 120.00 90.00 90.00
Element x y z (fractional)
Tl  0.332  0.667  0.333
Cd  0.837  0.000  0.000
In  0.831  0.333  0.667

Crystal system ... trigonal
Fermi-level density of states ... 1.14 states/eV per cell
Space-group type ... No. 156
Raw total energy ... -45.317 eV per atom


Density functional theory data (SCAN) for a crystal of LaBePCl2 relaxed with PBEsol.

abc: 4.387 4.387 4.888
angles: 90.00 90.00 90.00
Element x y z (fractional)
P  0.000  0.000  0.500
La  0.500  0.500  0.500
Cl  0.000  0.500  0.000
Cl  0.500  0.000  0.000
Be  0.000  0.000  0.000

Crystal system ... tetragonal
Formation energy (no corrections) ... -1.2329 eV/atom
Space-group type ... No. 123
Raw total energy ... -15.996 eV per atom


Copy entry 2 word for word.
Density functional theory data (SCAN) for a crystal of MgCdO2 relaxed with PBEsol.

abc: 4.856 4.856 5.834
angles: 114.59 114.60 90.00
Element x y z (fractional)
Mg  0.750  0.250  0.500
Mg  0.500  0.500  0.000
Cd  0.000  0.000  0.000
Cd  0.250  0.750  0.500
O  0.835  0.375  0.250
O  0.125  0.165  0.750
O  0.625  0.585  0.750
O  0.415  0.875  0.250

Crystal system ... tetragonal
Fermi-level density of states ... 0.00 states/eV per cell
Formation energy (no corrections) ... -2.0121 eV/atom
Space-group type ... No. 122
Raw total energy ... -13.975 eV per atom


raw total energy of number 2 (MgCdO2)? -13.975 eV per atom


The lowest raw total energy belongs to which entry? TaTl2Cr